Record 1
Compound: LiAcCe2
Source: Alexandria via LeMat-Bulk
Functional: PBE-GGA
Structure: relaxed

a = 3.5091 Å, b = 3.5091 Å, c = 37.6325 Å
α = 90.00°, β = 90.00°, γ = 120.00°
Space group R-3m (No. 166, hexagonal axes)
Inequivalent atoms, fractional coordinates:
1 Li 0.0000 0.0000 0.0000 [3 per cell]
2 Ac 0.0000 0.0000 0.5000 [3 per cell]
3 Ce 0.0000 0.0000 0.0876 [6 per cell]

Output
N(E_F) in states/eV/cell: 33.1
Formation enthalpy at 0 K in meV/atom: 363

***

Record 2
Compound: LiAc2Ce
Source: Alexandria via LeMat-Bulk
Functional: PBE-GGA
Structure: relaxed

a = 8.2185 Å, b = 8.2185 Å, c = 8.2185 Å
α = 90.00°, β = 90.00°, γ = 90.00°
Space group Fm-3m (No. 225)
Inequivalent atoms, fractional coordinates:
1 Li 0.0000 0.0000 0.0000 [4 per cell]
2 Ac 0.2500 0.2500 0.2500 [8 per cell]
3 Ce 0.0000 0.0000 0.5000 [4 per cell]

Output
N(E_F) in states/eV/cell: 42.9
Formation enthalpy at 0 K in meV/atom: 256
ΔE to the lowest computed polymorph in eV/atom: 0.136

***

Record 3
Compound: LiAc2Ce
Source: Alexandria via LeMat-Bulk
Functional: PBE-GGA
Structure: relaxed

a = 3.6715 Å, b = 3.6715 Å, c = 38.0548 Å
α = 90.00°, β = 90.00°, γ = 120.00°
Space group R-3m (No. 166, hexagonal axes)
Inequivalent atoms, fractional coordinates:
1 Li 0.0000 0.0000 0.0000 [3 per cell]
2 Ac 0.0000 0.0000 0.4087 [6 per cell]
3 Ce 0.0000 0.0000 0.5000 [3 per cell]

Output
N(E_F) in states/eV/cell: 27.6
Formation enthalpy at 0 K in meV/atom: 367
ΔE to the lowest computed polymorph in eV/atom: 0.248